Record 1
First-principles (GGA-PBE) data for LaTcIr2 after structural relaxation, as listed in Alexandria.

Cell: 4.749 4.749 4.749 Å, 60.00 60.00 60.00°
Site moments in Bohr magnetons follow the coordinates.
Atoms (fractional coordinates):
Ir: 0.250 0.250 0.250  0.64
Ir: 0.750 0.750 0.750  0.64
Tc: 0.000 0.000 0.000  2.10
La: 0.500 0.500 0.500  0.02

VASP energy   -7.959 eV/atom
Offset from the most stable computed form   390 meV per atom
Formation enthalpy at 0 K   6.80 kcal/mol of atoms
Calculated volume   75.7 Å³/cell
Space-group type   Fm-3m, No. 225

Record 2
First-principles (GGA-PBE) data for LaTcIr2 after structural relaxation, as listed in Alexandria.

Cell: 2.845 3.877 6.781 Å, 90.00 90.00 90.00°
Atoms (fractional coordinates):
Tc: 0.500 0.500 0.824
Ir: 0.500 0.500 0.205
Ir: 0.000 0.000 0.984
La: 0.000 0.000 0.487

VASP energy   -8.173 eV/atom
Offset from the most stable computed form   176 meV per atom
Formation enthalpy at 0 K   1.87 kcal/mol of atoms
Calculated volume   74.8 Å³/cell
Space-group type   Pmm2, No. 25

Record 3
First-principles (GGA-PBE) data for LaZr2TcIr after structural relaxation, as listed in Alexandria.

Cell: 5.055 5.466 5.055 Å, 90.00 90.00 90.00°
Site moments in Bohr magnetons follow the coordinates.
Atoms (fractional coordinates):
Zr: 0.500 0.000 0.000  -0.39
Zr: 0.000 0.000 0.500  -0.20
Tc: 0.500 0.500 0.500  2.31
La: 0.000 0.500 0.000  -0.08
Ir: 0.000 0.000 0.000  0.03

VASP energy   -7.616 eV/atom
Formation enthalpy at 0 K   14.63 kcal/mol of atoms
Calculated volume   139.7 Å³/cell
Space-group type   P4/mmm, No. 123